Record 1
LaMo3Cl: optimized geometry, GGA-PBE.

Structure (CIF):
```
data_LaMo3Cl
_space_group_name_H-M_alt 'P m -3 m'
_space_group_IT_number 221
_space_group_name_Hall '-P 4 2 3'
_cell_length_a 4.8771
_cell_length_b 4.8771
_cell_length_c 4.8771
_cell_angle_alpha 90.00
_cell_angle_beta 90.00
_cell_angle_gamma 90.00
loop_
_atom_site_label
_atom_site_type_symbol
_atom_site_fract_x
_atom_site_fract_y
_atom_site_fract_z
La1 La 0.0000 0.0000 0.0000
Mo1 Mo 0.0000 0.0000 0.5000
Cl1 Cl 0.5000 0.5000 0.5000
```

Record 2
LaMoCl2: optimized geometry, GGA-PBE.

Structure (CIF):
```
data_LaMoCl2
_space_group_name_H-M_alt 'P 1 2/m 1'
_space_group_IT_number 10
_space_group_name_Hall '-P 2y'
_cell_length_a 4.2112
_cell_length_b 4.2087
_cell_length_c 4.9445
_cell_angle_alpha 90.00
_cell_angle_beta 95.21
_cell_angle_gamma 90.00
loop_
_atom_site_label
_atom_site_type_symbol
_atom_site_fract_x
_atom_site_fract_y
_atom_site_fract_z
La1 La 0.0000 0.0000 0.0000
Mo1 Mo 0.5000 0.0000 0.5000
Cl1 Cl 0.2967 0.5000 0.7140
```

Record 3
LaMoCl2: optimized geometry, GGA-PBE.

Structure (CIF):
```
data_LaMoCl2
_space_group_name_H-M_alt 'C 1 2/m 1'
_space_group_IT_number 12
_space_group_name_Hall '-C 2y'
_cell_length_a 13.3178
_cell_length_b 3.7010
_cell_length_c 4.9692
_cell_angle_alpha 90.00
_cell_angle_beta 91.19
_cell_angle_gamma 90.00
loop_
_atom_site_label
_atom_site_type_symbol
_atom_site_fract_x
_atom_site_fract_y
_atom_site_fract_z
La1 La 0.0000 0.0000 0.0000
Mo1 Mo 0.0000 0.5000 0.5000
Cl1 Cl 0.1521 0.5000 0.2294
```

Record 4
La2MoCl: optimized geometry, GGA-PBE.

Structure (CIF):
```
data_La2MoCl
_space_group_name_H-M_alt 'I -4 2 d'
_space_group_IT_number 122
_space_group_name_Hall 'I -4 2bw'
_cell_length_a 6.6378
_cell_length_b 6.6378
_cell_length_c 11.9466
_cell_angle_alpha 90.00
_cell_angle_beta 90.00
_cell_angle_gamma 90.00
loop_
_atom_site_label
_atom_site_type_symbol
_atom_site_fract_x
_atom_site_fract_y
_atom_site_fract_z
La1 La 0.1809 0.2500 0.1250
Mo1 Mo 0.0000 0.0000 0.0000
Cl1 Cl 0.0000 0.0000 0.5000
```

| no. | DFT total energy (eV/atom) | size of the total moment (μB/f.u.) |
| --- | --- | --- |
| 1 | -5.3410 | 0.000 |
| 2 | -5.3515 | 0.015 |
| 3 | -5.4682 | 2.547 |
| 4 | -5.8026 | 0.000 |